No. 1
DFT (PBE) results for crystalline KAs2P at its relaxed geometry.

Cell: 6.741 7.353 12.014 Å, 113.23 90.00 89.98°
Fractional coordinates of all 16 atoms:
P  0.787  0.071  0.084
P  0.213  0.571  0.584
K  0.360  0.384  0.111
K  0.640  0.616  0.889
As  0.139  0.633  0.936
P  0.213  0.929  0.916
As  0.114  0.550  0.390
As  0.139  0.867  0.564
As  0.114  0.950  0.110
K  0.360  0.116  0.389
As  0.886  0.050  0.890
As  0.861  0.367  0.064
P  0.787  0.429  0.416
As  0.886  0.450  0.610
K  0.640  0.884  0.611
As  0.861  0.133  0.436

total magnetic moment: 0.00 μB/cell
final energy: -4.14 eV/atom
ΔH_f (0 K): -74 kJ/mol of formula units

No. 2
DFT (PBE) results for crystalline KAs2P at its relaxed geometry.

Cell: 5.911 5.911 5.911 Å, 147.52 120.21 69.72°
Fractional coordinates of all 4 atoms:
P  0.250  0.750  0.500
As  0.065  0.065  0.000
K  0.750  0.250  0.500
As  0.435  0.435  0.000

total magnetic moment: 0.00 μB/cell
final energy: -3.90 eV/atom
ΔH_f (0 K): 20 kJ/mol of formula units

No. 3
DFT (PBE) results for crystalline K2AsP at its relaxed geometry.

Cell: 5.598 5.598 6.185 Å, 82.67 82.67 32.73°
Fractional coordinates of all 4 atoms:
K  0.997  0.997  0.006
P  0.250  0.250  0.250
K  0.503  0.503  0.494
As  0.750  0.750  0.750

total magnetic moment: 0.00 μB/cell
final energy: -2.84 eV/atom
ΔH_f (0 K): 85 kJ/mol of formula units

No. 4
DFT (PBE) results for crystalline KAsP at its relaxed geometry.

Cell: 4.869 4.869 4.869 Å, 60.00 60.00 60.00°
Fractional coordinates of all 3 atoms:
P  0.250  0.250  0.250
K  0.500  0.500  0.500
As  0.000  0.000  0.000

total magnetic moment: 0.00 μB/cell
final energy: -3.39 eV/atom
ΔH_f (0 K): 94 kJ/mol of formula units

No. 5
DFT (PBE) results for crystalline KAsP at its relaxed geometry.

Cell: 5.103 2.953 5.790 Å, 90.00 90.00 90.00°
Fractional coordinates of all 3 atoms:
As  0.500  0.500  0.003
P  0.500  0.500  0.624
K  0.000  0.000  0.354

total magnetic moment: 0.00 μB/cell
final energy: -3.68 eV/atom
ΔH_f (0 K): 12 kJ/mol of formula units

No. 6
DFT (PBE) results for crystalline KAsP2 at its relaxed geometry.

Cell: 3.233 3.233 8.215 Å, 90.00 90.00 97.40°
Fractional coordinates of all 4 atoms:
K  0.500  0.500  0.750
P  0.000  0.000  0.444
P  0.000  0.000  0.056
As  0.500  0.500  0.250

total magnetic moment: 0.00 μB/cell
final energy: -3.72 eV/atom
ΔH_f (0 K): 161 kJ/mol of formula units